# 1
Here is crystalline ErTlAu at its relaxed geometry from Alexandria via LeMat-Bulk. Energies are from GGA-PBE.

Summary:
Crystal system   monoclinic
DOS at the Fermi energy   1.5 states/eV/f.u.
ΔH_f (0 K)   -0.4867 eV per atom
VASP energy   -3.889 eV/atom
Space-group type   C2/m, No. 12

Cell: 4.680 6.587 13.286 Å, 150.00 90.00 110.81°
Atoms (fractional coordinates):
1 Er 0.864 0.728 0.750
2 Tl 0.834 0.668 0.250
3 Au 0.510 0.019 0.750
4 Au 0.490 0.981 0.250
5 Er 0.136 0.272 0.250
6 Tl 0.166 0.332 0.750


# 2
Here is crystalline KRuO2 at its relaxed geometry from Alexandria via LeMat-Bulk. Energies are from GGA-PBE.

Summary:
E_form (uncorrected)   -0.79 eV/atom
Crystal system   tetragonal
DOS at the Fermi energy   3.3 states/eV/f.u.
VASP energy   -5.865 eV/atom
Space-group type   I4_1/amd, No. 141

Cell: 7.750 7.750 7.750 Å, 131.35 131.35 71.26°
Each line ends with the local moment (μB).
Atoms (fractional coordinates):
1 O 0.148 0.334 0.186  0.17
2 O 0.712 0.398 0.314  0.17
3 O 0.084 0.398 0.686  0.17
4 K 0.875 0.625 0.250  0.00
5 O 0.602 0.916 0.314  0.17
6 K 0.375 0.125 0.750  0.00
7 O 0.602 0.288 0.686  0.17
8 O 0.038 0.852 0.186  0.17
9 O 0.666 0.852 0.814  0.17
10 Ru 0.375 0.125 0.250  1.67
11 O 0.148 0.962 0.814  0.17
12 Ru 0.875 0.125 0.250  1.67
13 Ru 0.875 0.625 0.750  1.67
14 Ru 0.875 0.125 0.750  1.67
15 K 0.375 0.625 0.250  0.00
16 K 0.375 0.625 0.750  0.00


# 3
Here is crystalline PrGdAlIn at its relaxed geometry from Alexandria via LeMat-Bulk. Energies are from GGA-PBE.

Summary:
Crystal system   cubic
DOS at the Fermi energy   2.4 states/eV/f.u.
ΔH_f (0 K)   -0.4056 eV per atom
VASP energy   -6.741 eV/atom
Space-group type   F-43m, No. 216

Cell: 5.340 5.340 5.340 Å, 60.00 60.00 60.00°
Each line ends with the local moment (μB).
Atoms (fractional coordinates):
1 Pr 0.000 0.000 0.000  0.00
2 Gd 0.500 0.500 0.500  7.06
3 In 0.750 0.750 0.750  -0.02
4 Al 0.250 0.250 0.250  -0.01


# 4
Here is crystalline CsAsBr2 at its relaxed geometry from Alexandria via LeMat-Bulk. Energies are from GGA-PBE.

Summary:
E_form (uncorrected)   -0.18 eV/atom
Crystal system   trigonal
DOS at the Fermi energy   2.0 states/eV/f.u.
VASP energy   -2.397 eV/atom
Energy relative to the lowest polymorph listed for this composition   369 meV/atom
Space-group type   R-3m, No. 166

Cell: 9.200 9.200 9.200 Å, 30.88 30.88 30.88°
Atoms (fractional coordinates):
1 As 0.500 0.500 0.500
2 Br 0.872 0.872 0.872
3 Br 0.128 0.128 0.128
4 Cs 0.000 0.000 0.000


# 5
Here is crystalline SrCuPt2 at its relaxed geometry from Alexandria via LeMat-Bulk. Energies are from GGA-PBE.

Summary:
Crystal system   monoclinic
DOS at the Fermi energy   4.5 states/eV/f.u.
ΔH_f (0 K)   -0.5030 eV per atom
VASP energy   -4.968 eV/atom
Space-group type   C2/m, No. 12

Cell: 4.478 4.478 5.834 Å, 67.16 67.16 60.03°
Atoms (fractional coordinates):
1 Cu 0.250 0.250 0.250
2 Pt 0.562 0.562 0.313
3 Sr 0.750 0.750 0.750
4 Pt 0.938 0.938 0.187


# 6
Here is crystalline Pa3Ge2Pd5 at its relaxed geometry from Alexandria via LeMat-Bulk. Energies are from GGA-PBE.

Summary:
Crystal system   orthorhombic
DOS at the Fermi energy   11.4 states/eV/f.u.
ΔH_f (0 K)   -0.4036 eV per atom
VASP energy   -6.772 eV/atom
Space-group type   Ibam, No. 72

Cell: 5.763 8.924 8.924 Å, 89.84 71.16 71.16°
Each line ends with the local moment (μB).
Atoms (fractional coordinates):
1 Pa 0.883 0.809 0.424  0.07
2 Ge 0.618 0.049 0.714  0.00
3 Ge 0.382 0.951 0.286  0.00
4 Ge 0.118 0.714 0.049  0.00
5 Pd 0.486 0.764 0.764  0.00
6 Pd 0.642 0.215 0.501  0.00
7 Pd 0.514 0.236 0.236  0.00
8 Pd 0.750 0.500 0.500  0.00
9 Pa 0.383 0.424 0.809  0.07
10 Pa 0.117 0.191 0.576  0.07
11 Pd 0.986 0.764 0.764  0.00
12 Pd 0.142 0.501 0.215  0.00
13 Pd 0.250 0.500 0.500  0.00
14 Pd 0.014 0.236 0.236  0.00
15 Pa 0.617 0.576 0.191  0.07
16 Pd 0.858 0.499 0.785  0.00
17 Ge 0.882 0.286 0.951  0.00
18 Pa 0.750 0.000 0.000  0.37
19 Pa 0.250 0.000 0.000  0.37
20 Pd 0.358 0.785 0.499  0.00


Size of the total moment (computed, μB per atom): 0.00, 0.55, 1.78, 0.00, 0.00, 0.05